# Co2ReAs (PBE-GGA, optimized geometry)
data_Co2ReAs
_chemical_formula_sum 'Co8 Re4 As4'
_cell_length_a 15.454
_cell_length_b 3.636
_cell_length_c 3.746
_cell_angle_alpha 90.00
_cell_angle_beta 96.50
_cell_angle_gamma 90.00
_space_group_name_H-M_alt 'C 1 m 1'
_space_group_IT_number 8
_space_group_name_Hall 'C -2y'
loop_
_atom_site_label
_atom_site_type_symbol
_atom_site_fract_x
_atom_site_fract_y
_atom_site_fract_z
Co1 Co 0.000 0.000 0.000
Co2 Co 0.002 0.500 0.505
Co3 Co 0.127 0.500 0.091
Co4 Co 0.251 0.000 0.425
Re1 Re 0.385 0.500 0.442
Re2 Re 0.387 0.000 0.944
As1 As 0.105 0.000 0.536
As2 As 0.259 0.500 0.893
# Energy of formation from the pure elements (eV per atom): 0.018

# Co2ReAs (PBE-GGA, optimized geometry)
data_Co2ReAs
_chemical_formula_sum 'Co8 Re4 As4'
_cell_length_a 8.961
_cell_length_b 4.102
_cell_length_c 5.740
_cell_angle_alpha 90.00
_cell_angle_beta 106.11
_cell_angle_gamma 90.00
_space_group_name_H-M_alt 'C 1 2/m 1'
_space_group_IT_number 12
_space_group_name_Hall '-C 2y'
loop_
_atom_site_label
_atom_site_type_symbol
_atom_site_fract_x
_atom_site_fract_y
_atom_site_fract_z
Co1 Co 0.085 0.000 0.198
Co2 Co 0.138 0.500 0.473
Re1 Re 0.123 0.500 0.938
As1 As 0.150 0.000 0.684
# Energy of formation from the pure elements (eV per atom): 0.054

# Co2ReAs (PBE-GGA, optimized geometry)
data_Co2ReAs
_chemical_formula_sum 'Co8 Re4 As4'
_cell_length_a 3.747
_cell_length_b 3.747
_cell_length_c 15.968
_cell_angle_alpha 90.00
_cell_angle_beta 90.00
_cell_angle_gamma 90.00
_space_group_name_H-M_alt 'I -4 2 d'
_space_group_IT_number 122
_space_group_name_Hall 'I -4 2bw'
loop_
_atom_site_label
_atom_site_type_symbol
_atom_site_fract_x
_atom_site_fract_y
_atom_site_fract_z
Co1 Co 0.241 0.250 0.125
Re1 Re 0.000 0.000 0.500
As1 As 0.000 0.000 0.000
# Energy of formation from the pure elements (eV per atom): 0.591

# CoRe4As (PBE-GGA, optimized geometry)
data_CoRe4As
_chemical_formula_sum 'Co4 Re16 As4'
_cell_length_a 7.337
_cell_length_b 7.337
_cell_length_c 7.337
_cell_angle_alpha 90.00
_cell_angle_beta 90.00
_cell_angle_gamma 90.00
_space_group_name_H-M_alt 'F -4 3 m'
_space_group_IT_number 216
_space_group_name_Hall 'F -4 2 3'
loop_
_atom_site_label
_atom_site_type_symbol
_atom_site_fract_x
_atom_site_fract_y
_atom_site_fract_z
Co1 Co 0.000 0.000 0.000
Re1 Re 0.125 0.125 0.625
As1 As 0.250 0.250 0.250
# Energy of formation from the pure elements (eV per atom): 0.855

# Co2ReAs (PBE-GGA, optimized geometry)
data_Co2ReAs
_chemical_formula_sum 'Co4 Re2 As2'
_cell_length_a 2.710
_cell_length_b 6.771
_cell_length_c 5.584
_cell_angle_alpha 90.00
_cell_angle_beta 90.00
_cell_angle_gamma 90.00
_space_group_name_H-M_alt 'A m m 2'
_space_group_IT_number 38
_space_group_name_Hall 'A 2 -2'
loop_
_atom_site_label
_atom_site_type_symbol
_atom_site_fract_x
_atom_site_fract_y
_atom_site_fract_z
Co1 Co 0.000 0.195 0.000
Re1 Re 0.500 0.000 0.682
As1 As 0.500 0.000 0.245
# Energy of formation from the pure elements (eV per atom): 0.096

# Co2ReAs (PBE-GGA, optimized geometry)
data_Co2ReAs
_chemical_formula_sum 'Co2 Re1 As1'
_cell_length_a 2.724
_cell_length_b 2.724
_cell_length_c 6.878
_cell_angle_alpha 90.00
_cell_angle_beta 90.00
_cell_angle_gamma 90.00
_space_group_name_H-M_alt 'P 4/m m m'
_space_group_IT_number 123
_space_group_name_Hall '-P 4 2'
loop_
_atom_site_label
_atom_site_type_symbol
_atom_site_fract_x
_atom_site_fract_y
_atom_site_fract_z
Co1 Co 0.000 0.000 0.243
Re1 Re 0.500 0.500 0.500
As1 As 0.500 0.500 0.000
# Energy of formation from the pure elements (eV per atom): 0.118

# Co2ReAs (PBE-GGA, optimized geometry)
data_Co2ReAs
_chemical_formula_sum 'Co6 Re3 As3'
_cell_length_a 2.7736
_cell_length_b 2.7736
_cell_length_c 24.0332
_cell_angle_alpha 90.00
_cell_angle_beta 90.00
_cell_angle_gamma 120.00
_space_group_name_H-M_alt 'R 3 m'
_space_group_IT_number 160
_space_group_name_Hall 'R 3 -2"'
loop_
_atom_site_label
_atom_site_type_symbol
_atom_site_fract_x
_atom_site_fract_y
_atom_site_fract_z
Co1 Co 0.0000 0.0000 0.0000
Co2 Co 0.0000 0.0000 0.2526
Re1 Re 0.0000 0.0000 0.7505
As1 As 0.0000 0.0000 0.5081
# Energy of formation from the pure elements (eV per atom): 0.305

# Co2ReAs (PBE-GGA, optimized geometry)
data_Co2ReAs
_chemical_formula_sum 'Co2 Re1 As1'
_cell_length_a 2.792
_cell_length_b 3.600
_cell_length_c 5.079
_cell_angle_alpha 90.00
_cell_angle_beta 90.00
_cell_angle_gamma 90.00
_space_group_name_H-M_alt 'P m m m'
_space_group_IT_number 47
_space_group_name_Hall '-P 2 2'
loop_
_atom_site_label
_atom_site_type_symbol
_atom_site_fract_x
_atom_site_fract_y
_atom_site_fract_z
Co1 Co 0.000 0.000 0.242
Re1 Re 0.500 0.500 0.000
As1 As 0.500 0.500 0.500
# Energy of formation from the pure elements (eV per atom): 0.129